No. 1
CsAlZn2B | the Alexandria database | PBE-GGA | optimized geometry; calculated density = 4.2 g cm⁻³; energy of formation from the pure elements = 0.90 eV per atom
1.0
4.3773 0.0000 0.0000
0.0000 4.3773 0.0000
0.0000 0.0000 6.2286
Cs Al Zn B
1 1 2 1
direct
0.0000 0.0000 0.0000
0.5000 0.5000 0.0000
0.0000 0.5000 0.5000
0.5000 0.0000 0.5000
0.0000 0.0000 0.5000

***

No. 2
MgSi2Ir4 | the Alexandria database | PBE-GGA | optimized geometry; formation energy without anion corrections = -0.539 eV per atom; calculated density = 13.7 g cm⁻³
1.0
16.2415 0.0000 0.0000
0.0000 3.9072 0.0000
0.0000 0.0000 6.4797
Mg Si Ir
4 8 16
direct
0.1401 0.2500 0.0255
0.3599 0.7500 0.5255
0.6401 0.2500 0.4745
0.8599 0.7500 0.9745
0.0426 0.7500 0.2488
0.2237 0.2500 0.5334
0.2763 0.7500 0.0334
0.4574 0.2500 0.7488
0.5426 0.7500 0.2512
0.7237 0.2500 0.9666
0.7763 0.7500 0.4666
0.9574 0.2500 0.7512
0.0308 0.7500 0.8576
0.0759 0.2500 0.5183
0.1846 0.7500 0.3206
0.1894 0.7500 0.7420
0.3106 0.2500 0.2420
0.3154 0.2500 0.8206
0.4241 0.7500 0.0183
0.4692 0.2500 0.3576
0.5308 0.7500 0.6424
0.5759 0.2500 0.9817
0.6846 0.7500 0.1794
0.6894 0.7500 0.7580
0.8106 0.2500 0.2580
0.8154 0.2500 0.6794
0.9241 0.7500 0.4817
0.9692 0.2500 0.1424